A plane-wave DFT calculation with PBE was carried out for crystalline PSeIO2 at its relaxed geometry.

Geometry as CIF:
```
data_PSeIO2
_chemical_formula_sum 'P1 Se1 I1 O2'
_space_group_name_H-M_alt 'P 1'
_space_group_IT_number 1
_cell_length_a 3.9073
_cell_length_b 3.9073
_cell_length_c 5.9421
_cell_angle_alpha 90.00
_cell_angle_beta 90.00
_cell_angle_gamma 90.00
loop_
_space_group_symop_operation_xyz
'x,y,z'
loop_
_atom_site_label
_atom_site_type_symbol
_atom_site_fract_x
_atom_site_fract_y
_atom_site_fract_z
P1 P 0.0000 0.0000 0.0000
Se1 Se 0.5000 0.5000 0.0000
I1 I 0.0000 0.0000 0.5000
O1 O 0.0000 0.5000 0.5000
O2 O 0.5000 0.0000 0.5000
```

Results
excess energy over the best structure of this formula in the dataset: 0.271 eV per atom
raw total energy: -18.90 eV per cell
magnetic moment: 0.01 μB per cell
formation energy (no corrections): 292.9 meV/atom